The following is a DFT calculation (PBE) of an optimized crystal structure of BaDyO3.

Cell lengths 4.4359, 4.4358, 4.4358 Å; angles 90.00, 90.00, 90.00 degrees
Last column: magnetic moment on the atom in μB.
Atoms (fractional coordinates):
1 Ba 0.9885 0.9993 0.9968  -0.01
2 O 0.4878 0.5003 0.9979  0.29
3 O 0.4876 0.9999 0.4985  0.29
4 O 0.9880 0.5006 0.4990  0.29
5 Dy 0.4881 0.4999 0.4978  0.05

Summary:
**D(E_F)**: 3.038 states/eV/f.u.
**Space group**: Cm (8)
**Energy relative to the elements, uncorrected**: -2702 meV per atom

The following is a DFT calculation (PBE) of an optimized crystal structure of TbPmDy.

Cell lengths 3.5856, 3.5856, 8.0104 Å; angles 102.93, 102.93, 90.00 degrees
Atoms (fractional coordinates):
1 Dy 0.6679 0.6679 0.3357
2 Pm 0.0002 0.0002 0.0004
3 Tb 0.3319 0.3319 0.6639

Summary:
**D(E_F)**: 3.878 states/eV/f.u.
**Space group**: I4mm (107)
**Relative energy among the computed polymorphs**: 2 kJ/mol of formula units
**Energy of formation from the pure elements**: 0.0179 eV/atom

The following is a DFT calculation (PBE) of an optimized crystal structure of Nb6VIn2.

Cell lengths 4.7364, 6.6886, 7.6971 Å; angles 133.76, 89.99, 90.01 degrees
Atoms (fractional coordinates):
1 Nb 0.5001 0.5946 0.8998
2 Nb 0.4999 0.4054 0.1002
3 Nb 0.0001 0.4426 0.6394
4 Nb 0.9999 0.5574 0.3606
5 Nb 0.0001 0.8010 0.2025
6 Nb 0.9999 0.1990 0.7975
7 In 0.4999 0.8230 0.6677
8 In 0.5001 0.1770 0.3323
9 V 0.0000 0.0000 0.0000

Summary:
**D(E_F)**: 9.391 states/eV/f.u.
**Space group**: P2/m (10)
**Energy of formation from the pure elements**: 0.2594 eV/atom

The following is a DFT calculation (PBE) of an optimized crystal structure of RuS2N.

Cell lengths 7.3601, 7.3601, 7.3601 Å; angles 23.19, 23.19, 23.19 degrees
Atoms (fractional coordinates):
1 Ru 0.0000 0.0000 0.0000
2 N 0.5000 0.5000 0.5000
3 S 0.8973 0.8973 0.8973
4 S 0.1027 0.1027 0.1027

Summary:
**D(E_F)**: 2.691 states/eV/f.u.
**Space group**: R-3m (166)
**Energy relative to the elements, uncorrected**: 1238 meV per atom

| no. | total magnetization (μB per atom) |
| --- | --- |
| 1 | 0.20 |
| 2 | 0.00 |
| 3 | 0.00 |
| 4 | 0.00 |